# 1
LaNdIn | GGA-PBE | optimized geometry

The structure in extended XYZ format:
```
3
Lattice="-3.569 0.060 -2.216 2.115 -1.172 -3.437 -0.107 -4.490 4.034" Properties=species:S:1:pos:R:3 pbc="T T T"
La -0.487 -2.947 0.705
Nd -0.903 -1.620 -2.572
In -1.482 -5.123 -1.734
```

Computed properties:
D(E_F): 1.67 states/eV per atom
M_tot: 0.00 μB/cell
Crystal system: tetragonal
Space-group type: I4mm
Energy of formation: -0.29 eV/atom

# 2
LaNdIn4 | GGA-PBE | optimized geometry

The structure in extended XYZ format:
```
6
Lattice="-2.089 2.974 0.661 -0.563 -0.977 3.518 10.119 6.354 3.384" Properties=species:S:1:pos:R:3 pbc="T T T"
La 3.734 4.176 3.781
Nd 0.000 0.000 0.000
In 0.455 2.116 2.683
In 7.012 6.235 4.879
In 6.903 4.335 2.310
In 0.565 4.016 5.253
```

Computed properties:
D(E_F): 0.76 states/eV per atom
M_tot: 0.01 μB/cell
Crystal system: orthorhombic
Space-group type: Cmmm
Energy of formation: -0.34 eV/atom

# 3
LaNdIn4 | GGA-PBE | optimized geometry

The structure in extended XYZ format:
```
6
Lattice="-2.281 5.650 -0.641 -2.630 2.802 4.772 2.789 4.752 2.680" Properties=species:S:1:pos:R:3 pbc="T T T"
In -2.721 5.877 2.917
In -0.012 6.852 1.871
In -1.327 8.253 4.257
In -0.186 5.428 4.577
Nd -0.531 3.301 1.703
La 0.000 0.000 0.000
```

Computed properties:
D(E_F): 0.79 states/eV per atom
M_tot: 0.00 μB/cell
Crystal system: cubic
Space-group type: F-43m
Energy of formation: -0.45 eV/atom

# 4
La8Nd2In | GGA-PBE | optimized geometry

The structure in extended XYZ format:
```
11
Lattice="-4.189 2.494 3.913 -3.094 -6.608 7.544 1.727 -2.453 10.057" Properties=species:S:1:pos:R:3 pbc="T T T"
La -0.658 -1.340 7.922
La -2.958 -3.322 6.723
La -4.897 -5.227 13.592
La -1.618 -4.301 10.214
La -2.597 -3.244 14.791
La -1.512 -0.044 2.973
La -4.043 -6.523 18.541
La -3.938 -2.265 11.299
Nd -4.178 -0.273 8.467
Nd -1.377 -6.293 13.047
In 0.000 0.000 0.000
```

Computed properties:
D(E_F): 1.42 states/eV per atom
M_tot: 0.00 μB/cell
Crystal system: monoclinic
Space-group type: C2/m
Energy of formation: -0.01 eV/atom

# 5
LaNdIn | GGA-PBE | optimized geometry

The structure in extended XYZ format:
```
6
Lattice="-1.621 -1.550 -2.649 -4.461 -4.869 5.580 -4.518 4.373 0.204" Properties=species:S:1:pos:R:3 pbc="T T T"
In -2.857 -0.683 -0.126
In -7.743 -1.363 3.262
Nd -3.927 2.692 0.827
Nd -5.052 -3.188 4.957
La -4.489 -0.248 2.892
La -2.230 -2.434 2.790
```

Computed properties:
D(E_F): 1.19 states/eV per atom
M_tot: 0.00 μB/cell
Crystal system: orthorhombic
Space-group type: Pmma
Energy of formation: -0.24 eV/atom

# 6
LaNd5In4 | GGA-PBE | optimized geometry

The structure in extended XYZ format:
```
20
Lattice="8.767 0.000 0.000 0.000 8.544 0.000 0.000 0.000 9.259" Properties=species:S:1:pos:R:3 pbc="T T T"
La 5.641 0.000 0.000
La 3.126 4.272 4.630
Nd 2.329 6.396 7.428
Nd 2.329 2.147 7.428
Nd 8.054 4.272 0.000
Nd 2.329 6.396 1.831
Nd 2.329 2.147 1.831
Nd 6.438 6.419 2.799
Nd 6.438 2.124 2.799
Nd 0.713 0.000 4.630
Nd 6.438 2.124 6.460
Nd 6.438 6.419 6.460
In 8.663 0.000 7.793
In 4.889 5.628 0.000
In 4.889 2.915 0.000
In 8.663 0.000 1.466
In 0.104 4.272 3.163
In 3.878 7.187 4.630
In 3.878 1.357 4.630
In 0.104 4.272 6.096
```

Computed properties:
D(E_F): 0.96 states/eV per atom
M_tot: 0.00 μB/cell
Crystal system: orthorhombic
Space-group type: Pmmn
Energy of formation: -0.13 eV/atom

# 7
La2NdIn | GGA-PBE | optimized geometry

The structure in extended XYZ format:
```
4
Lattice="-0.607 1.473 3.412 -2.354 -1.705 2.395 7.591 -6.114 6.069" Properties=species:S:1:pos:R:3 pbc="T T T"
La 5.605 -4.717 5.112
La 0.998 -1.474 2.893
Nd 2.314 -3.173 5.938
In -1.974 -0.155 3.872
```

Computed properties:
D(E_F): 1.55 states/eV per atom
M_tot: 0.00 μB/cell
Crystal system: trigonal
Space-group type: R3m
Energy of formation: -0.12 eV/atom

# 8
La2Nd2In | GGA-PBE | optimized geometry

The structure in extended XYZ format:
```
5
Lattice="5.691 0.000 0.000 -2.846 6.096 -1.406 0.000 -3.764 5.743" Properties=species:S:1:pos:R:3 pbc="T T T"
La 2.846 -0.209 1.974
La 0.000 2.541 2.363
Nd 0.000 -0.865 4.189
Nd 2.846 3.197 0.149
In 0.000 0.000 0.000
```

Computed properties:
D(E_F): 1.04 states/eV per atom
M_tot: 0.00 μB/cell
Crystal system: monoclinic
Space-group type: C2/m
Energy of formation: -0.18 eV/atom

- Which value of energy of formation does entry 8 give?
  -0.18 eV/atom

Repeat the first record exactly.
LaNdIn | GGA-PBE | optimized geometry

The structure in extended XYZ format:
```
3
Lattice="-3.569 0.060 -2.216 2.115 -1.172 -3.437 -0.107 -4.490 4.034" Properties=species:S:1:pos:R:3 pbc="T T T"
La -0.487 -2.947 0.705
Nd -0.903 -1.620 -2.572
In -1.482 -5.123 -1.734
```

Computed properties:
D(E_F): 1.67 states/eV per atom
M_tot: 0.00 μB/cell
Crystal system: tetragonal
Space-group type: I4mm
Energy of formation: -0.29 eV/atom

- The highest energy of formation belongs to which entry?
  La8Nd2In